TcTeOs after structural relaxation, computed with GGA-PBE.

Formation energy (no corrections) in eV per atom: 0.96
Density of states at the Fermi level in states/eV per atom: 1.096
Distance to the lowest polymorph of the same formula in meV per atom: 413
Space group: Fmm2
Calculated volume in Å³/cell: 54.53

```
data_TcTeOs
_symmetry_space_group_name_H-M 'P 1'
_symmetry_Int_Tables_number 1
_cell_length_a 7.697
_cell_length_b 7.408
_cell_length_c 2.948
_cell_angle_alpha 84.33
_cell_angle_beta 73.27
_cell_angle_gamma 22.40
loop_
_symmetry_equiv_pos_as_xyz
'x,y,z'
loop_
_atom_site_label
_atom_site_type_symbol
_atom_site_fract_x
_atom_site_fract_y
_atom_site_fract_z
Os1 Os 0.986 0.986 0.014
Te1 Te 0.668 0.668 0.332
Tc1 Tc 0.346 0.346 0.654
```